No. 1
# YAl3O PBE relaxed
# Total magnetization (μB per formula unit): 0.992
# Crystal system: cubic
# ΔE to the lowest computed polymorph (meV per atom): 2158
# ΔE_f (raw) (eV per atom): 1.5601
# Space group: Pm-3m (221)
data_YAl3O
_chemical_formula_sum 'Y1 Al3 O1'
_space_group_name_H-M_alt 'P 1'
_space_group_IT_number 1
_space_group_name_Hall 'P 1'
_cell_length_a 5.6608
_cell_length_b 5.6608
_cell_length_c 5.6608
_cell_angle_alpha 90.00
_cell_angle_beta 90.00
_cell_angle_gamma 90.00
loop_
_atom_site_label
_atom_site_fract_x
_atom_site_fract_y
_atom_site_fract_z
Al1 0.5000 0.0000 0.0000
O1 0.5000 0.5000 0.5000
Al2 0.0000 0.0000 0.5000
Y1 0.0000 0.0000 0.0000
Al3 0.0000 0.5000 0.0000



No. 2
# MnSiPS2 PBE relaxed
# Total magnetization (μB per formula unit): 3.050
# Crystal system: tetragonal
# ΔE to the lowest computed polymorph (meV per atom): 0
# ΔE_f (raw) (eV per atom): 0.5083
# Space group: P4/mmm (123)
data_MnSiPS2
_chemical_formula_sum 'Mn1 Si1 P1 S2'
_space_group_name_H-M_alt 'P 1'
_space_group_IT_number 1
_space_group_name_Hall 'P 1'
_cell_length_a 4.5358
_cell_length_b 4.5358
_cell_length_c 4.4915
_cell_angle_alpha 90.00
_cell_angle_beta 90.00
_cell_angle_gamma 90.00
loop_
_atom_site_label
_atom_site_fract_x
_atom_site_fract_y
_atom_site_fract_z
Si1 0.5000 0.5000 0.5000
P1 0.0000 0.0000 0.5000
S1 0.5000 0.0000 0.0000
S2 0.0000 0.5000 0.0000
Mn1 0.0000 0.0000 0.0000



No. 3
# La6Mg5Zn PBE relaxed
# Total magnetization (μB per formula unit): 0.000
# Crystal system: orthorhombic
# Energy of formation (eV/atom): -0.14
# Space group: Cmmm (65)
data_La6Mg5Zn
_chemical_formula_sum 'La6 Mg5 Zn1'
_space_group_name_H-M_alt 'P 1'
_space_group_IT_number 1
_space_group_name_Hall 'P 1'
_cell_length_a 5.5427
_cell_length_b 7.8759
_cell_length_c 8.7767
_cell_angle_alpha 90.00
_cell_angle_beta 71.59
_cell_angle_gamma 90.00
loop_
_atom_site_label
_atom_site_fract_x
_atom_site_fract_y
_atom_site_fract_z
La1 0.5000 0.7612 0.0000
La2 0.8382 0.2441 0.3235
Mg1 0.6687 0.5000 0.6626
Zn1 0.0000 0.0000 0.0000
La3 0.1618 0.2441 0.6765
La4 0.8382 0.7559 0.3235
Mg2 0.6725 0.0000 0.6549
La5 0.5000 0.2388 0.0000
La6 0.1618 0.7559 0.6765
Mg3 0.3275 0.0000 0.3451
Mg4 0.3313 0.5000 0.3374
Mg5 0.0000 0.5000 0.0000



No. 4
# Bi8PtRh2 PBE relaxed
# Total magnetization (μB per formula unit): 0.000
# Crystal system: monoclinic
# Energy of formation (eV/atom): 0.05
# Space group: C2/m (12)
data_Bi8PtRh2
_chemical_formula_sum 'Bi8 Pt1 Rh2'
_space_group_name_H-M_alt 'P 1'
_space_group_IT_number 1
_space_group_name_Hall 'P 1'
_cell_length_a 5.4753
_cell_length_b 7.8514
_cell_length_c 7.8514
_cell_angle_alpha 83.34
_cell_angle_beta 89.99
_cell_angle_gamma 89.99
loop_
_atom_site_label
_atom_site_fract_x
_atom_site_fract_y
_atom_site_fract_z
Bi1 0.2565 0.7910 0.7910
Rh1 0.7488 0.7859 0.7859
Bi2 0.7310 0.7050 0.1332
Bi3 0.2512 0.4388 0.4388
Bi4 0.7435 0.2090 0.2090
Bi5 0.2690 0.8668 0.2950
Rh2 0.2512 0.2141 0.2141
Bi6 0.2690 0.2950 0.8668
Bi7 0.7310 0.1332 0.7050
Pt1 0.0000 0.0000 0.0000
Bi8 0.7488 0.5612 0.5612



No. 5
# H3Pd2Au2 PBE relaxed
# Total magnetization (μB per formula unit): 0.000
# Crystal system: triclinic
# Final energy (eV/atom): -3.840
# Space group: P-1 (2)
data_H3Pd2Au2
_chemical_formula_sum 'H3 Pd2 Au2'
_space_group_name_H-M_alt 'P 1'
_space_group_IT_number 1
_space_group_name_Hall 'P 1'
_cell_length_a 2.9219
_cell_length_b 5.6036
_cell_length_c 5.2230
_cell_angle_alpha 111.84
_cell_angle_beta 90.57
_cell_angle_gamma 103.30
loop_
_atom_site_label
_atom_site_fract_x
_atom_site_fract_y
_atom_site_fract_z
Pd1 0.6337 0.2403 0.9417
Au1 0.1302 0.2460 0.4365
Pd2 0.3663 0.7597 0.0583
H1 0.0000 0.0000 0.0000
H2 0.8041 0.6047 0.1714
Au2 0.8698 0.7540 0.5635
H3 0.1959 0.3953 0.8286



No. 6
# BS5F PBE relaxed
# Total magnetization (μB per formula unit): 0.000
# Crystal system: triclinic
# ΔE_f (raw) (eV per atom): -0.4197
# Space group: P1 (1)
data_BS5F
_chemical_formula_sum 'B1 S5 F1'
_space_group_name_H-M_alt 'P 1'
_space_group_IT_number 1
_space_group_name_Hall 'P 1'
_cell_length_a 7.2152
_cell_length_b 3.8409
_cell_length_c 11.2658
_cell_angle_alpha 59.43
_cell_angle_beta 110.32
_cell_angle_gamma 133.82
loop_
_atom_site_label
_atom_site_fract_x
_atom_site_fract_y
_atom_site_fract_z
S1 0.2739 0.5318 0.7513
S2 0.8026 0.2096 0.1817
S3 0.4467 0.1162 0.8012
F1 0.8222 0.1318 0.4417
S4 0.1805 0.8717 0.1815
S5 0.3362 0.6424 0.3706
B1 0.6687 0.0271 0.3335



No. 7
# Tb2SmNi PBE relaxed
# Total magnetization (μB per formula unit): 0.000
# Crystal system: trigonal
# ΔE to the lowest computed polymorph (meV per atom): 294
# Energy of formation (eV/atom): 0.07
# Space group: R-3m (166)
data_Tb2SmNi
_chemical_formula_sum 'Tb2 Sm1 Ni1'
_space_group_name_H-M_alt 'P 1'
_space_group_IT_number 1
_space_group_name_Hall 'P 1'
_cell_length_a 3.5910
_cell_length_b 3.5910
_cell_length_c 10.6679
_cell_angle_alpha 80.31
_cell_angle_beta 80.31
_cell_angle_gamma 60.00
loop_
_atom_site_label
_atom_site_fract_x
_atom_site_fract_y
_atom_site_fract_z
Sm1 0.0000 0.0000 0.0000
Ni1 0.5000 0.5000 0.5000
Tb1 0.8886 0.8886 0.3343
Tb2 0.1114 0.1114 0.6657



No. 8
# Cs3AcNp2S6 PBE relaxed
# Total magnetization (μB per formula unit): 8.001
# Crystal system: monoclinic
# ΔE_f (raw) (eV per atom): -1.4993
# Space group: C2/m (12)
data_Cs3AcNp2S6
_chemical_formula_sum 'Cs3 Ac1 Np2 S6'
_space_group_name_H-M_alt 'P 1'
_space_group_IT_number 1
_space_group_name_Hall 'P 1'
_cell_length_a 7.3888
_cell_length_b 7.3888
_cell_length_c 8.4580
_cell_angle_alpha 98.39
_cell_angle_beta 98.39
_cell_angle_gamma 119.98
loop_
_atom_site_label
_atom_site_fract_x
_atom_site_fract_y
_atom_site_fract_z
S1 0.0617 0.4141 0.1847
Cs1 0.1642 0.8358 0.5000
S2 0.2911 0.2911 0.8166
S3 0.4141 0.0617 0.1847
S4 0.9383 0.5859 0.8153
S5 0.5859 0.9383 0.8153
Cs2 0.8358 0.1642 0.5000
Np1 0.3331 0.6669 0.0000
Cs3 0.5000 0.5000 0.5000
Np2 0.6669 0.3331 0.0000
Ac1 0.0000 0.0000 0.0000
S6 0.7089 0.7089 0.1834



No. 9
# PmHgI6 PBE relaxed
# Total magnetization (μB per formula unit): 0.000
# Crystal system: triclinic
# ΔE_f (raw) (eV per atom): -0.6590
# Space group: P-1 (2)
data_PmHgI6
_chemical_formula_sum 'Pm1 Hg1 I6'
_space_group_name_H-M_alt 'P 1'
_space_group_IT_number 1
_space_group_name_Hall 'P 1'
_cell_length_a 7.7607
_cell_length_b 8.8959
_cell_length_c 7.3525
_cell_angle_alpha 62.95
_cell_angle_beta 64.71
_cell_angle_gamma 57.23
loop_
_atom_site_label
_atom_site_fract_x
_atom_site_fract_y
_atom_site_fract_z
I1 0.9222 0.5373 0.2366
I2 0.5456 0.2578 0.2835
I3 0.4544 0.7422 0.7165
I4 0.7629 0.0780 0.7568
Hg1 0.0000 0.0000 0.0000
Pm1 0.5000 0.5000 0.5000
I5 0.0778 0.4627 0.7634
I6 0.2371 0.9220 0.2432



No. 10
# ZrHg2Se PBE relaxed
# Total magnetization (μB per formula unit): 0.000
# Crystal system: tetragonal
# ΔE_f (raw) (eV per atom): -0.1095
# Space group: I-42d (122)
data_ZrHg2Se
_chemical_formula_sum 'Zr2 Hg4 Se2'
_space_group_name_H-M_alt 'P 1'
_space_group_IT_number 1
_space_group_name_Hall 'P 1'
_cell_length_a 8.3230
_cell_length_b 8.3230
_cell_length_c 6.5079
_cell_angle_alpha 50.25
_cell_angle_beta 50.25
_cell_angle_gamma 90.00
loop_
_atom_site_label
_atom_site_fract_x
_atom_site_fract_y
_atom_site_fract_z
Zr1 0.0000 0.0000 0.0000
Zr2 0.7500 0.2500 0.5000
Hg1 0.3750 0.3674 0.7500
Hg2 0.1174 0.6250 0.2500
Hg3 0.6326 0.1250 0.2500
Se1 0.5000 0.5000 0.0000
Hg4 0.8750 0.8826 0.7500
Se2 0.2500 0.7500 0.5000



No. 11
# NiAg3I PBE relaxed
# Total magnetization (μB per formula unit): 0.016
# Crystal system: cubic
# ΔE to the lowest computed polymorph (meV per atom): 0
# ΔE_f (raw) (eV per atom): 0.6255
# Space group: Pm-3m (221)
data_NiAg3I
_chemical_formula_sum 'Ni1 Ag3 I1'
_space_group_name_H-M_alt 'P 1'
_space_group_IT_number 1
_space_group_name_Hall 'P 1'
_cell_length_a 4.9214
_cell_length_b 4.9214
_cell_length_c 4.9214
_cell_angle_alpha 90.00
_cell_angle_beta 90.00
_cell_angle_gamma 90.00
loop_
_atom_site_label
_atom_site_fract_x
_atom_site_fract_y
_atom_site_fract_z
Ag1 0.5000 0.0000 0.0000
Ni1 0.0000 0.0000 0.0000
Ag2 0.0000 0.5000 0.0000
I1 0.5000 0.5000 0.5000
Ag3 0.0000 0.0000 0.5000



No. 12
# YInTc3 PBE relaxed
# Total magnetization (μB per formula unit): 3.920
# Crystal system: cubic
# ΔE to the lowest computed polymorph (meV per atom): 0
# Energy of formation (eV/atom): 1.64
# Space group: Pm-3m (221)
data_YInTc3
_chemical_formula_sum 'Y1 In1 Tc3'
_space_group_name_H-M_alt 'P 1'
_space_group_IT_number 1
_space_group_name_Hall 'P 1'
_cell_length_a 4.8993
_cell_length_b 4.8993
_cell_length_c 4.8993
_cell_angle_alpha 90.00
_cell_angle_beta 90.00
_cell_angle_gamma 90.00
loop_
_atom_site_label
_atom_site_fract_x
_atom_site_fract_y
_atom_site_fract_z
Y1 0.5000 0.5000 0.5000
Tc1 0.5000 0.0000 0.0000
In1 0.0000 0.0000 0.0000
Tc2 0.0000 0.0000 0.5000
Tc3 0.0000 0.5000 0.0000